First-principles (GGA-PBE) data for a relaxed SrIrCl5 crystal, as listed in the Alexandria database.

Cell lengths 7.9284, 7.9284, 8.9099 Å; angles 106.54, 106.54, 51.67 degrees
Last column: nearest neighbours and their distance in Å.
Element x y z (fractional)
Sr 0.0376 0.9624 0.7500  5 Cl 2.93-2.96
Sr 0.9624 0.0376 0.2500  5 Cl 2.93-2.96
Ir 0.5000 0.5000 0.0000  6 Cl 2.35-2.38
Ir 0.5000 0.5000 0.5000  6 Cl 2.35-2.38
Cl 0.1329 0.6263 0.4733  1 Ir 2.38
Cl 0.1344 0.6221 0.9023  1 Ir 2.38
Cl 0.3737 0.8671 0.0267  1 Ir 2.38
Cl 0.3779 0.8656 0.5977  1 Ir 2.38
Cl 0.3910 0.6090 0.2500  2 Ir 2.35
Cl 0.6090 0.3910 0.7500  2 Ir 2.35
Cl 0.6221 0.1344 0.4023  1 Ir 2.38
Cl 0.6263 0.1329 0.9733  1 Ir 2.38
Cl 0.8656 0.3779 0.0977  1 Ir 2.38
Cl 0.8671 0.3737 0.5267  1 Ir 2.38

Values from the calculation:
uncorrected formation energy	-1.234	eV/atom
SG	C2/c (15)

=====

First-principles (GGA-PBE) data for a relaxed InCoSN2 crystal, as listed in the Alexandria database.

Cell lengths 4.1435, 4.1435, 5.4194 Å; angles 90.00, 90.00, 90.00 degrees
Last column: nearest neighbours and their distance in Å.
Element x y z (fractional)
In 0.0000 0.0000 0.0000  4 N 2.07
Co 0.5000 0.5000 0.5000  4 S 2.93
S 0.0000 0.0000 0.5000  2 In 2.71, 4 Co 2.93
N 0.0000 0.5000 0.0000  2 In 2.07
N 0.5000 0.0000 0.0000  2 In 2.07

Values from the calculation:
E above lowest polymorph	954	meV per atom
D(E_F)	1.29	states/eV/atom
uncorrected formation energy	1.790	eV/atom
SG	P4/mmm (123)